Entry 1:
## TbTmAlGa (PBE-GGA)

Data for an optimized crystal structure of TbTmAlGa.

abc: 5.058 5.058 5.058
angles: 60.00 60.00 60.00
Positions (direct):
Tb: 0.000 0.000 0.000
Tm: 0.500 0.500 0.500
Al: 0.250 0.250 0.250
Ga: 0.750 0.750 0.750

DFT formation energy: -1.9 eV per formula unit
Raw total energy: -4.443 eV/atom
Polymorph energy (0 for the lowest one): 31 meV per atom


Entry 2:
## CuOs2RhCl (PBE-GGA)

Data for an optimized crystal structure of CuOs2RhCl.

abc: 4.597 4.597 4.711
angles: 90.00 90.00 90.00
Positions (direct):
Cu: 0.000 0.000 0.000
Os: 0.000 0.500 0.000
Os: 0.500 0.000 0.000
Rh: 0.000 0.000 0.500
Cl: 0.500 0.500 0.500

E_form (uncorrected): 2.1853 eV per atom
Raw total energy: -4.965 eV/atom